1.
Mg3Al14O24, relaxed, DFT PBE; DFT total energy = -0.267 hartree per atom; space group = No. 8; formation energy without anion corrections = -2.978 eV per atom
1.0
9.3806 -2.8688 0.0000
9.3806 2.8688 0.0000
-3.3749 0.0000 7.3682
Mg Al O
3 14 24
Direct
0.0000 0.0000 0.0000 Mg
0.1729 0.1729 0.4174 Mg
0.5069 0.5069 0.7546 Mg
0.0914 0.0914 0.7103 Al
0.0920 0.5759 0.7236 Al
0.2523 0.7562 0.3805 Al
0.3332 0.3332 0.3379 Al
0.4169 0.4169 0.0471 Al
0.4188 0.9279 0.0371 Al
0.5759 0.0920 0.7236 Al
0.5883 0.5883 0.2075 Al
0.6679 0.6679 0.6721 Al
0.7521 0.7521 0.3731 Al
0.7562 0.2523 0.3805 Al
0.8400 0.8400 0.0851 Al
0.9196 0.9196 0.5441 Al
0.9279 0.4188 0.0371 Al
0.0650 0.6067 0.4607 O
0.0776 0.0776 0.4621 O
0.0946 0.6008 0.9656 O
0.0965 0.0965 0.9527 O
0.2218 0.7791 0.6076 O
0.2467 0.2467 0.1355 O
0.2674 0.2674 0.6333 O
0.2855 0.7256 0.1515 O
0.4133 0.9094 0.7934 O
0.4138 0.4138 0.8085 O
0.4235 0.4235 0.2988 O
0.4523 0.8904 0.2787 O
0.5818 0.5818 0.4529 O
0.5981 0.5981 0.9873 O
0.6008 0.0946 0.9656 O
0.6067 0.0650 0.4607 O
0.7256 0.2855 0.1515 O
0.7519 0.7519 0.1253 O
0.7557 0.7557 0.6242 O
0.7791 0.2218 0.6076 O
0.8904 0.4523 0.2787 O
0.9064 0.9064 0.7596 O
0.9094 0.4133 0.7934 O
0.9245 0.9245 0.3045 O

2.
Cs2MoBr6N, relaxed, DFT PBE; DFT total energy = -0.132 hartree per atom; space group = No. 139; formation energy without anion corrections = -0.508 eV per atom
1.0
-3.9931 3.9931 5.6568
3.9931 -3.9931 5.6568
3.9931 3.9931 -5.6568
Cs Mo Br N
2 1 6 1
Direct
0.2500 0.7500 0.5000 Cs
0.7500 0.2500 0.5000 Cs
0.0000 0.0000 0.0000 Mo
0.2268 0.2268 0.0000 Br
0.2272 0.2272 0.4545 Br
0.2272 0.7728 0.0000 Br
0.7728 0.2272 0.0000 Br
0.7732 0.7732 0.0000 Br
0.7728 0.7728 0.5455 Br
0.5000 0.5000 0.0000 N

3.
Li2ReSi, relaxed, DFT PBE; DFT total energy = -0.198 hartree per atom; space group = No. 8; formation energy without anion corrections = 0.047 eV per atom
1.0
4.2660 -1.2824 0.0000
4.2660 1.2824 0.0000
-0.4959 0.0000 5.0906
Li Re Si
2 1 1
Direct
0.0000 0.0000 0.0000 Li
0.2392 0.2392 0.7836 Li
0.4837 0.4837 0.4870 Re
0.7377 0.7377 0.2934 Si

4.
YCr2W, relaxed, DFT PBE; DFT total energy = -0.339 hartree per atom; DFT formation energy = 437 meV per atom; space group = No. 99; energy above the lowest structure with this stoichiometry = 61 meV per atom
1.0
3.0541 0.0000 0.0000
0.0000 3.0541 0.0000
0.0000 0.0000 7.3861
Y Cr W
1 2 1
Direct
0.0000 0.0000 0.0000 Y
0.0000 0.0000 0.4944 Cr
0.5000 0.5000 0.3203 Cr
0.5000 0.5000 0.6968 W

5.
LaHo2ThAs4, relaxed, DFT PBE; DFT total energy = -0.240 hartree per atom; DFT formation energy = -1518 meV per atom; space group = No. 10
1.0
7.2524 0.0000 0.0000
0.0000 4.2128 0.0000
-2.4386 0.0000 6.8831
La Ho Th As
1 2 1 4
Direct
0.0000 0.0000 0.0000 La
0.5000 0.0000 0.5000 Ho
0.5000 0.5000 0.0000 Ho
0.0000 0.5000 0.5000 Th
0.2602 0.0000 0.7500 As
0.2619 0.5000 0.2581 As
0.7381 0.5000 0.7419 As
0.7398 0.0000 0.2500 As